Density functional theory data (PBE) for an optimized crystal structure of PuZrAlTc.

## Properties
SG	F-43m
spin magnetization	4.70	Bohr magnetons per cell
energy of formation	-0.150	eV/atom

a = 4.7062 Å, b = 4.7062 Å, c = 4.7062 Å
α = 60.00°, β = 60.00°, γ = 60.00°
With the nearest neighbours (Å) after each atom.
Fractional positions:
Pu  0.0000  0.0000  0.0000  4 Zr 2.88, 4 Tc 2.88
Zr  0.2500  0.2500  0.2500  4 Al 2.88, 4 Pu 2.88
Al  0.5000  0.5000  0.5000  4 Zr 2.88, 4 Tc 2.88
Tc  0.7500  0.7500  0.7500  4 Al 2.88, 4 Pu 2.88

Density functional theory data (PBE) for an optimized crystal structure of HfSnP3.

## Properties
SG	Pm-3m
offset from the most stable computed form	0.0	meV/atom
spin magnetization	0.00	Bohr magnetons per cell
energy of formation	0.229	eV/atom

a = 4.9896 Å, b = 4.9896 Å, c = 4.9896 Å
α = 90.00°, β = 90.00°, γ = 90.00°
With the nearest neighbours (Å) after each atom.
Fractional positions:
Hf  0.0000  0.0000  0.0000  6 P 2.49
Sn  0.5000  0.5000  0.5000  12 P 3.53
P  0.0000  0.0000  0.5000  2 Hf 2.49
P  0.0000  0.5000  0.0000  2 Hf 2.49
P  0.5000  0.0000  0.0000  2 Hf 2.49

Density functional theory data (PBE) for an optimized crystal structure of CoAsPb2.

## Properties
SG	Imm2
spin magnetization	0.00	Bohr magnetons per cell
energy of formation	0.194	eV/atom

a = 7.1259 Å, b = 7.1259 Å, c = 7.1259 Å
α = 152.49°, β = 145.73°, γ = 44.49°
With the nearest neighbours (Å) after each atom.
Fractional positions:
Co  0.0000  0.0000  0.0000  2 As 2.29
As  0.8832  0.3832  0.5000  2 Co 2.29
Pb  0.2655  0.7655  0.5000  4 As 3.11, 4 Pb 3.35-3.39
Pb  0.5679  0.5679  0.0000  4 Co 2.84